No. 1
NdAgSnTe2Se: optimized geometry, PBE.

Structure (extended XYZ):
```
12
Lattice="2.163 -7.345 0.000 2.163 7.345 0.000 0.000 0.000 10.815" Properties=species:S:1:pos:R:3 pbc="T T T"
Nd 0.000 0.000 0.000
Nd 0.000 0.000 5.408
Ag 2.163 0.333 8.111
Ag 2.163 -0.333 2.704
Sn 2.163 3.603 2.704
Sn 2.163 -3.603 8.111
Te 2.163 2.259 6.071
Te 2.163 2.259 10.152
Te 2.163 -2.259 0.663
Te 2.163 -2.259 4.744
Se 2.163 6.043 8.111
Se 2.163 -6.043 2.704
```

Calculated values
final energy: -25.9 eV/f.u.
ρ: 6.81 g cm⁻³
symmetry: Cmcm, No. 63



No. 2
NdTlAg3Se4: optimized geometry, PBE.

Structure (extended XYZ):
```
9
Lattice="6.498 0.000 0.000 0.000 6.498 0.000 0.000 0.000 6.498" Properties=species:S:1:pos:R:3 pbc="T T T"
Nd 0.000 0.000 0.000
Tl 3.249 3.249 3.249
Ag 0.000 0.000 3.249
Ag 0.000 3.249 0.000
Ag 3.249 0.000 0.000
Se 1.598 1.598 4.899
Se 1.598 4.899 1.598
Se 4.899 1.598 1.598
Se 4.899 4.899 4.899
```

Calculated values
final energy: -33.9 eV/f.u.
ρ: 5.98 g cm⁻³
symmetry: P-43m, No. 215



No. 3
NdSmAg2: optimized geometry, PBE.

Structure (extended XYZ):
```
4
Lattice="4.856 0.000 0.000 0.000 1.924 5.611 0.000 -1.924 5.611" Properties=species:S:1:pos:R:3 pbc="T T T"
Nd 0.000 0.000 0.000
Sm 2.428 0.000 7.992
Ag 0.000 0.000 3.123
Ag 2.428 0.000 4.843
```

Calculated values
energy of formation: -1.1 eV per formula unit
final energy: -16.2 eV/f.u.
ρ: 8.08 g cm⁻³
symmetry: Amm2, No. 38